{
  "formula": "ScCu5B2",
  "functional": "GGA-PBE",
  "state": "relaxed",
  "spacegroup": "P4/mmm, No. 123",
  "final_energy_ev_per_atom": -4.44,
  "lattice_angstrom": [[-1.865, -2.541, -2.327], [0.528, -2.826, 2.662], [-5.205, 1.457, 2.580]],
  "species": ["Cu", "Cu", "Cu", "Cu", "Cu", "B", "B", "Sc"],
  "frac_coords": [[0.500, 0.000, 0.776], [0.500, 0.500, 0.000], [0.000, 0.500, 0.776], [0.000, 0.500, 0.224], [0.500, 0.000, 0.224], [0.500, 0.500, 0.500], [0.000, 0.000, 0.000], [0.000, 0.000, 0.500]]
}